Entry from the Alexandria database: a relaxed PRhWO2 crystal (PBE with a Hubbard U).

## Properties
Raw total energy, eV/atom: -6.551
Polymorph energy (0 for the lowest one), meV per atom: 0

Lattice parameters (Å, degrees): 3.7826 3.7826 5.3247 90.00 90.00 90.00
With the nearest neighbours (Å) after each atom.
Space group P4/mmm (No. 123)
Unique sites:
1 P 0.0000 0.0000 0.0000  2 W 2.66, 4 Rh 2.67
2 Rh 0.5000 0.5000 0.0000  4 P 2.67
3 W 0.0000 0.0000 0.5000  4 O 1.89
4 O 0.0000 0.5000 0.5000  2 W 1.89